1.
Computed, not measured: an optimized crystal structure of ErCd8 at the PBE level of DFT.

**Space group**: C2/m
**Crystal system**: monoclinic
**Energy relative to the elements**: -0.11 eV per atom
**Total magnetization**: 0.00 μB/f.u.

CIF file:
```
data_ErCd8
_cell_length_a 7.070
_cell_length_b 7.070
_cell_length_c 4.580
_cell_angle_alpha 108.90
_cell_angle_beta 108.90
_cell_angle_gamma 83.99
_space_group_name_H-M_alt 'P 1'
_space_group_IT_number 1
loop_
_space_group_symop_operation_xyz
'x,y,z'
loop_
_atom_site_label
_atom_site_fract_x
_atom_site_fract_y
_atom_site_fract_z
_atom_site_occupancy
Er1 0.000 0.000 0.000 1
Cd1 0.000 0.340 0.671 1
Cd2 0.000 0.660 0.329 1
Cd3 0.337 0.663 0.000 1
Cd4 0.338 0.338 0.339 1
Cd5 0.340 0.000 0.671 1
Cd6 0.660 0.000 0.329 1
Cd7 0.662 0.662 0.661 1
Cd8 0.663 0.337 0.000 1
```

=====

2.
Computed, not measured: an optimized crystal structure of Nb3TeC at the PBE level of DFT.

**Space group**: Pm-3m
**Crystal system**: cubic
**Total magnetization**: 0.00 μB/f.u.
**Formation energy (no corrections)**: 0.0 eV/f.u.
**Distance to the lowest polymorph of the same formula**: 0 kJ/mol of formula units

CIF file:
```
data_Nb3TeC
_cell_length_a 4.370
_cell_length_b 4.370
_cell_length_c 4.370
_cell_angle_alpha 90.00
_cell_angle_beta 90.00
_cell_angle_gamma 90.00
_space_group_name_H-M_alt 'P 1'
_space_group_IT_number 1
loop_
_space_group_symop_operation_xyz
'x,y,z'
loop_
_atom_site_label
_atom_site_fract_x
_atom_site_fract_y
_atom_site_fract_z
_atom_site_occupancy
Nb1 0.000 0.000 0.500 1
Nb2 0.000 0.500 0.000 1
Nb3 0.500 0.000 0.000 1
Te1 0.500 0.500 0.500 1
C1 0.000 0.000 0.000 1
```

=====

3.
Computed, not measured: an optimized crystal structure of Pm5MgHg6 at the PBE level of DFT.

**Space group**: Immm
**Crystal system**: orthorhombic
**Energy relative to the elements**: -0.46 eV per atom
**Total magnetization**: 0.00 μB/f.u.

CIF file:
```
data_Pm5MgHg6
_cell_length_a 9.260
_cell_length_b 9.260
_cell_length_c 9.260
_cell_angle_alpha 147.07
_cell_angle_beta 131.59
_cell_angle_gamma 59.80
_space_group_name_H-M_alt 'P 1'
_space_group_IT_number 1
loop_
_space_group_symop_operation_xyz
'x,y,z'
loop_
_atom_site_label
_atom_site_fract_x
_atom_site_fract_y
_atom_site_fract_z
_atom_site_occupancy
Pm1 0.000 0.000 0.000 1
Pm2 0.170 0.670 0.500 1
Pm3 0.338 0.338 0.000 1
Pm4 0.662 0.662 0.000 1
Pm5 0.830 0.330 0.500 1
Mg1 0.500 0.000 0.500 1
Hg1 0.097 0.840 0.257 1
Hg2 0.259 0.500 0.759 1
Hg3 0.417 0.160 0.257 1
Hg4 0.583 0.840 0.743 1
Hg5 0.741 0.500 0.241 1
Hg6 0.903 0.160 0.743 1
```

=====

4.
Computed, not measured: an optimized crystal structure of NpPaGa2 at the PBE level of DFT.

**Space group**: P4/mmm
**Crystal system**: tetragonal
**Energy relative to the elements**: -0.13 eV per atom
**Total magnetization**: 4.47 μB/f.u.
**Distance to the lowest polymorph of the same formula**: 3 kJ/mol of formula units

CIF file:
```
data_NpPaGa2
_cell_length_a 4.254
_cell_length_b 4.254
_cell_length_c 4.533
_cell_angle_alpha 90.00
_cell_angle_beta 90.00
_cell_angle_gamma 90.00
_space_group_name_H-M_alt 'P 1'
_space_group_IT_number 1
loop_
_space_group_symop_operation_xyz
'x,y,z'
loop_
_atom_site_label
_atom_site_fract_x
_atom_site_fract_y
_atom_site_fract_z
_atom_site_occupancy
Np1 0.000 0.000 0.000 1
Pa1 0.500 0.500 0.000 1
Ga1 0.000 0.500 0.500 1
Ga2 0.500 0.000 0.500 1
```

=====

5.
Computed, not measured: an optimized crystal structure of Ac2HoScHg6 at the PBE level of DFT.

**Space group**: Fm-3m
**Crystal system**: cubic
**Energy relative to the elements**: -0.03 eV per atom
**Total magnetization**: 0.00 μB/f.u.

CIF file:
```
data_Ac2HoScHg6
_cell_length_a 7.747
_cell_length_b 7.747
_cell_length_c 7.747
_cell_angle_alpha 60.00
_cell_angle_beta 60.00
_cell_angle_gamma 60.00
_space_group_name_H-M_alt 'P 1'
_space_group_IT_number 1
loop_
_space_group_symop_operation_xyz
'x,y,z'
loop_
_atom_site_label
_atom_site_fract_x
_atom_site_fract_y
_atom_site_fract_z
_atom_site_occupancy
Ac1 0.250 0.250 0.250 1
Ac2 0.750 0.750 0.750 1
Ho1 0.000 0.000 0.000 1
Sc1 0.500 0.500 0.500 1
Hg1 0.255 0.255 0.745 1
Hg2 0.255 0.745 0.255 1
Hg3 0.255 0.745 0.745 1
Hg4 0.745 0.255 0.255 1
Hg5 0.745 0.255 0.745 1
Hg6 0.745 0.745 0.255 1
```

=====

6.
Computed, not measured: an optimized crystal structure of MnCuSiP at the PBE level of DFT.

**Space group**: P4mm
**Crystal system**: tetragonal
**Total magnetization**: 1.03 μB/f.u.
**Formation energy (no corrections)**: -0.4 eV/f.u.
**Distance to the lowest polymorph of the same formula**: 21 kJ/mol of formula units

CIF file:
```
data_MnCuSiP
_cell_length_a 3.206
_cell_length_b 3.206
_cell_length_c 4.738
_cell_angle_alpha 90.00
_cell_angle_beta 90.00
_cell_angle_gamma 90.00
_space_group_name_H-M_alt 'P 1'
_space_group_IT_number 1
loop_
_space_group_symop_operation_xyz
'x,y,z'
loop_
_atom_site_label
_atom_site_fract_x
_atom_site_fract_y
_atom_site_fract_z
_atom_site_occupancy
Mn1 0.000 0.000 0.000 1
Cu1 0.500 0.500 0.684 1
Si1 0.000 0.000 0.491 1
P1 0.500 0.500 0.177 1
```

=====

Question: Number 2 is which compound?
Answer: Nb3TeC